## Pr3Tm3NiTe2 (GGA-PBE)

Data for a geometry-optimized Pr3Tm3NiTe2 structure.

Unit cell a=8.5923 b=8.5923 c=3.8670 alpha=90.00 beta=90.00 gamma=120.00
Space group P-62m (No. 189)
Unique sites:
Pr 0.0000 0.7549 0.0000 x3
Tm 0.0000 0.4063 0.5000 x3
Ni 0.0000 0.0000 0.5000 x1
Te 0.3333 0.6667 0.0000 x2

Output
Uncorrected energy in eV per atom: -5.006
Magnetization in μB/f.u.: 0.02
E above lowest polymorph in eV/atom: 0.146